1 | This record from the Alexandria database describes an optimized crystal structure of Tb3PrDy4. The functional is PBE.

a b c (Å): 11.8846 11.8846 6.7314
angles (deg): 106.39 106.39 16.80
Element x y z (fractional)
Tb: 0.0000 0.0000 0.0000
Tb: 0.1264 0.1264 0.8711
Tb: 0.8736 0.8736 0.1289
Pr: 0.5000 0.5000 0.5000
Dy: 0.1260 0.1260 0.3815
Dy: 0.2598 0.2598 0.2618
Dy: 0.7402 0.7402 0.7382
Dy: 0.8740 0.8740 0.6185

Results
- mass density (g cm⁻³) = 7.99
- total magnetic moment (μB/atom) = 0.0000

---

2 | This record from the Alexandria database describes an optimized crystal structure of Tb3PrDy4. The functional is PBE.

a b c (Å): 11.3749 7.2930 6.2978
angles (deg): 90.00 90.00 90.00
Element x y z (fractional)
Tb: 0.0000 0.1264 0.0000
Tb: 0.2500 0.1267 0.3340
Tb: 0.2500 0.8733 0.8340
Tb: 0.5000 0.8736 0.5000
Tb: 0.7500 0.1267 0.3340
Tb: 0.7500 0.8733 0.8340
Pr: 0.0000 0.8741 0.5002
Pr: 0.5000 0.1259 0.0002
Dy: 0.0000 0.3764 0.5005
Dy: 0.0000 0.6234 0.0016
Dy: 0.2483 0.3765 0.8340
Dy: 0.2517 0.6235 0.3340
Dy: 0.5000 0.3766 0.5016
Dy: 0.5000 0.6236 0.0005
Dy: 0.7483 0.6235 0.3340
Dy: 0.7517 0.3765 0.8340

Results
- mass density (g cm⁻³) = 8.06
- total magnetic moment (μB/atom) = 0.0001

---

If we sort the structures by their calculated energies, the order from most to least stable is 2, 1.

---

1 | This record from the Alexandria database describes an optimized crystal structure of Tb7Pr3Dy. The functional is PBE.

a b c (Å): 5.5772 7.0064 10.0796
angles (deg): 70.60 89.96 89.93
Element x y z (fractional)
Tb: 0.0000 0.0000 0.0000
Tb: 0.9996 0.4227 0.1710
Tb: 0.0004 0.5773 0.8290
Tb: 0.4998 0.1468 0.7106
Tb: 0.4997 0.3229 0.3638
Tb: 0.5003 0.6771 0.6362
Tb: 0.5002 0.8532 0.2894
Pr: 0.0000 0.0000 0.5000
Pr: 0.4995 0.2802 0.0031
Pr: 0.5005 0.7198 0.9969
Dy: 0.0000 0.5000 0.5000

Results
- mass density (g cm⁻³) = 7.59
- total magnetic moment (μB/atom) = 0.0000

---

2 | This record from the Alexandria database describes an optimized crystal structure of Tb7Pr3Dy. The functional is PBE.

a b c (Å): 7.1194 7.1194 8.7499
angles (deg): 90.00 90.00 120.00
Element x y z (fractional)
Tb: 0.0000 0.0000 0.0000
Tb: 0.1659 0.3318 0.6780
Tb: 0.1659 0.8341 0.6780
Tb: 0.5008 0.0016 0.0025
Tb: 0.5008 0.4992 0.0025
Tb: 0.6682 0.8341 0.6780
Tb: 0.9984 0.4992 0.0025
Pr: 0.3334 0.1667 0.3405
Pr: 0.8333 0.1667 0.3405
Pr: 0.8333 0.6666 0.3405
Dy: 0.6667 0.3333 0.6808

Results
- mass density (g cm⁻³) = 7.34
- total magnetic moment (μB/atom) = 0.0000

---

If we sort the structures by their calculated energies, the order from most to least stable is 1, 2.

---

1 | This record from the Alexandria database describes an optimized crystal structure of TbPr8Dy2. The functional is PBE.

a b c (Å): 9.1886 9.1886 6.7587
angles (deg): 99.57 99.57 43.92
Element x y z (fractional)
Tb: 0.0000 0.0000 0.0000
Pr: 0.1747 0.6524 0.5941
Pr: 0.2448 0.2448 0.3225
Pr: 0.3476 0.8253 0.4059
Pr: 0.4044 0.4044 0.0826
Pr: 0.5956 0.5956 0.9174
Pr: 0.6524 0.1747 0.5941
Pr: 0.7552 0.7552 0.6775
Pr: 0.8253 0.3476 0.4059
Dy: 0.1955 0.1955 0.8097
Dy: 0.8045 0.8045 0.1903

Results
- mass density (g cm⁻³) = 6.87
- total magnetic moment (μB/atom) = 0.0000

---

2 | This record from the Alexandria database describes an optimized crystal structure of TbPr8Dy2. The functional is PBE.

a b c (Å): 8.0386 8.0386 8.7523
angles (deg): 112.97 112.97 50.55
Element x y z (fractional)
Tb: 0.0000 0.0000 0.0000
Pr: 0.1625 0.6461 0.6135
Pr: 0.2606 0.2606 0.2198
Pr: 0.3539 0.8375 0.3865
Pr: 0.3913 0.3913 0.0055
Pr: 0.6087 0.6087 0.9945
Pr: 0.6461 0.1625 0.6135
Pr: 0.7394 0.7394 0.7802
Pr: 0.8375 0.3539 0.3865
Dy: 0.1411 0.1411 0.7575
Dy: 0.8589 0.8589 0.2425

Results
- mass density (g cm⁻³) = 6.79
- total magnetic moment (μB/atom) = 0.0000

---

If we sort the structures by their calculated energies, the order from most to least stable is 1, 2.

---

1 | This record from the Alexandria database describes an optimized crystal structure of Tb6PrDy4. The functional is PBE.

a b c (Å): 8.4919 8.4919 8.4919
angles (deg): 126.56 126.56 78.98
Element x y z (fractional)
Tb: 0.0000 0.5000 0.5000
Tb: 0.0554 0.5704 0.0000
Tb: 0.4296 0.4296 0.4850
Tb: 0.5000 0.0000 0.5000
Tb: 0.5704 0.0554 0.0000
Tb: 0.9446 0.9446 0.5150
Pr: 0.0000 0.0000 0.0000
Dy: 0.2581 0.2581 0.6704
Dy: 0.4123 0.7419 0.0000
Dy: 0.5877 0.5877 0.3296
Dy: 0.7419 0.4123 0.0000

Results
- mass density (g cm⁻³) = 7.58
- total magnetic moment (μB/atom) = 0.0000

---

2 | This record from the Alexandria database describes an optimized crystal structure of Tb6PrDy4. The functional is PBE.

a b c (Å): 5.6055 5.6055 25.6934
angles (deg): 90.00 90.00 118.04
Element x y z (fractional)
Tb: 0.0000 0.0000 0.0000
Tb: 0.0000 0.0000 0.5000
Tb: 0.0372 0.9628 0.7500
Tb: 0.3005 0.6995 0.1014
Tb: 0.3005 0.6995 0.3986
Tb: 0.3707 0.6293 0.6805
Tb: 0.3707 0.6293 0.8195
Tb: 0.6293 0.3707 0.1805
Tb: 0.6293 0.3707 0.3195
Tb: 0.6995 0.3005 0.6014
Tb: 0.6995 0.3005 0.8986
Tb: 0.9628 0.0372 0.2500
Pr: 0.2987 0.7013 0.2500
Pr: 0.7013 0.2987 0.7500
Dy: 0.0417 0.9583 0.6214
Dy: 0.0417 0.9583 0.8786
Dy: 0.3482 0.6518 0.5425
Dy: 0.3482 0.6518 0.9575
Dy: 0.6518 0.3482 0.0425
Dy: 0.6518 0.3482 0.4575
Dy: 0.9583 0.0417 0.1214
Dy: 0.9583 0.0417 0.3786

Results
- mass density (g cm⁻³) = 8.13
- total magnetic moment (μB/atom) = 0.0000

---

If we sort the structures by their calculated energies, the order from most to least stable is 2, 1.

---

1 | This record from the Alexandria database describes an optimized crystal structure of Tb3Pr5Dy. The functional is PBE.

a b c (Å): 10.6659 10.6659 11.7966
angles (deg): 121.24 121.24 34.58
Element x y z (fractional)
Tb: 0.0000 0.0000 0.0000
Tb: 0.0000 0.0000 0.5000
Tb: 0.0485 0.6002 0.9745
Tb: 0.3998 0.9515 0.5255
Tb: 0.6002 0.0485 0.4745
Tb: 0.9515 0.3998 0.0255
Pr: 0.0008 0.6401 0.6681
Pr: 0.1870 0.5353 0.3412
Pr: 0.3599 0.9992 0.8319
Pr: 0.4110 0.5890 0.7500
Pr: 0.4647 0.8130 0.1588
Pr: 0.5353 0.1870 0.8412
Pr: 0.5890 0.4110 0.2500
Pr: 0.6401 0.0008 0.1681
Pr: 0.8130 0.4647 0.6588
Pr: 0.9992 0.3599 0.3319
Dy: 0.1006 0.8994 0.2500
Dy: 0.8994 0.1006 0.7500

Results
- mass density (g cm⁻³) = 6.98
- total magnetic moment (μB/atom) = 0.0000

---

2 | This record from the Alexandria database describes an optimized crystal structure of Tb3Pr5Dy. The functional is PBE.

a b c (Å): 8.4571 8.4571 10.0189
angles (deg): 101.09 101.09 89.74
Element x y z (fractional)
Tb: 0.0000 0.0000 0.0000
Tb: 0.9997 0.9997 0.3240
Tb: 0.0003 0.0003 0.6760
Tb: 0.4921 0.4921 0.1604
Tb: 0.5000 0.5000 0.5000
Tb: 0.5079 0.5079 0.8396
Pr: 0.0968 0.5975 0.8521
Pr: 0.2420 0.2420 0.9178
Pr: 0.2473 0.7527 0.5000
Pr: 0.2487 0.2487 0.5811
Pr: 0.4025 0.9032 0.1479
Pr: 0.5975 0.0968 0.8521
Pr: 0.7513 0.7513 0.4189
Pr: 0.7527 0.2473 0.5000
Pr: 0.7580 0.7580 0.0822
Pr: 0.9032 0.4025 0.1479
Dy: 0.2623 0.2623 0.2662
Dy: 0.7377 0.7377 0.7338

Results
- mass density (g cm⁻³) = 6.47
- total magnetic moment (μB/atom) = 0.0000

---

If we sort the structures by their calculated energies, the order from most to least stable is 1, 2.

---

1 | This record from the Alexandria database describes an optimized crystal structure of Tb2Pr5Dy4. The functional is PBE.

a b c (Å): 12.8248 12.8248 12.8248
angles (deg): 164.11 137.79 45.38
Element x y z (fractional)
Tb: 0.2304 0.2304 0.0000
Tb: 0.7696 0.7696 0.0000
Pr: 0.1515 0.3531 0.7983
Pr: 0.4452 0.6469 0.7983
Pr: 0.5000 0.0000 0.5000
Pr: 0.5548 0.3531 0.2017
Pr: 0.8485 0.6469 0.2017
Dy: 0.0965 0.0965 0.0000
Dy: 0.1873 0.5000 0.6873
Dy: 0.8127 0.5000 0.3127
Dy: 0.9035 0.9035 0.0000

Results
- mass density (g cm⁻³) = 7.17
- total magnetic moment (μB/atom) = 0.0000

---

2 | This record from the Alexandria database describes an optimized crystal structure of Tb2Pr5Dy4. The functional is PBE.

a b c (Å): 9.1018 9.1018 11.7138
angles (deg): 93.90 93.90 22.64
Element x y z (fractional)
Tb: 0.2161 0.2161 0.3534
Tb: 0.7839 0.7839 0.6466
Pr: 0.0000 0.0000 0.0000
Pr: 0.3232 0.3232 0.9284
Pr: 0.4033 0.4033 0.4640
Pr: 0.5967 0.5967 0.5360
Pr: 0.6768 0.6768 0.0716
Dy: 0.1404 0.1404 0.7958
Dy: 0.4648 0.4648 0.7392
Dy: 0.5352 0.5352 0.2608
Dy: 0.8596 0.8596 0.2042

Results
- mass density (g cm⁻³) = 7.45
- total magnetic moment (μB/atom) = 0.0000

---

If we sort the structures by their calculated energies, the order from most to least stable is 2, 1.